# 1
Entry from Alexandria: a geometry-optimized Ba2NaBiTe4 structure (GGA-PBE).

Cell lengths 9.5372, 9.5372, 9.7075 Å; angles 120.58, 120.58, 89.46 degrees
Sites, in units of the cell vectors:
Ba (0.5000, 0.0000, 0.0000)
Ba (0.5000, 0.0000, 0.5000)
Ba (0.0000, 0.0000, 0.5000)
Ba (0.5000, 0.5000, 0.0000)
Na (0.0000, 0.5000, 0.0000)
Na (0.0000, 0.5000, 0.5000)
Bi (0.5000, 0.5000, 0.5000)
Bi (0.0000, 0.0000, 0.0000)
Te (0.2276, 0.7491, 0.9886)
Te (0.7509, 0.2724, 0.5114)
Te (0.2491, 0.7276, 0.4886)
Te (0.7724, 0.2509, 0.0114)
Te (0.7585, 0.7414, 0.9768)
Te (0.7586, 0.7415, 0.5232)
Te (0.2414, 0.2585, 0.4768)
Te (0.2415, 0.2586, 0.0232)

Computed properties:
Formation energy (no corrections) ... -1.0923 eV per atom

=====

# 2
Entry from Alexandria: a geometry-optimized BaNa2Tl2Bi2 structure (GGA-PBE).

Cell lengths 5.5160, 5.5160, 9.7364 Å; angles 73.54, 73.54, 60.00 degrees
Sites, in units of the cell vectors:
Ba (0.0000, 0.0000, 0.0000)
Na (0.1396, 0.1396, 0.5812)
Na (0.8604, 0.8604, 0.4188)
Tl (0.5640, 0.5640, 0.3080)
Tl (0.4360, 0.4360, 0.6920)
Bi (0.7435, 0.7435, 0.7696)
Bi (0.2565, 0.2565, 0.2304)

Computed properties:
ΔE_f ... -0.3735 eV per atom

=====

# 3
Entry from Alexandria: a geometry-optimized Ba2Na3TlBi4 structure (GGA-PBE).

Cell lengths 5.1945, 5.1945, 13.1150 Å; angles 90.00, 90.00, 90.00 degrees
Sites, in units of the cell vectors:
Ba (0.5000, 0.0000, 0.2340)
Ba (0.0000, 0.5000, 0.7660)
Na (0.0000, 0.0000, 0.5000)
Na (0.5000, 0.0000, 0.8704)
Na (0.0000, 0.5000, 0.1296)
Tl (0.5000, 0.5000, 0.5000)
Bi (0.5000, 0.5000, 0.0000)
Bi (0.0000, 0.0000, 0.0000)
Bi (0.5000, 0.0000, 0.6427)
Bi (0.0000, 0.5000, 0.3573)

Computed properties:
ΔE_f ... -0.4707 eV per atom

=====

# 4
Entry from Alexandria: a geometry-optimized BaNaTlBi2 structure (GGA-PBE).

Cell lengths 4.9789, 4.9789, 8.1123 Å; angles 107.87, 107.87, 90.00 degrees
Sites, in units of the cell vectors:
Ba (0.0000, 0.0000, 0.0000)
Na (0.2500, 0.7500, 0.5000)
Tl (0.7500, 0.2500, 0.5000)
Bi (0.6088, 0.6088, 0.2176)
Bi (0.3912, 0.3912, 0.7824)

Computed properties:
ΔE_f ... -0.4794 eV per atom

=====

For each record above, in turn, the calculated raw total energy values are -60.70, -19.67, -30.40, -15.77 eV/cell.
For each record above, in turn, the calculated total magnetic moment values are 0.00, 0.00, 0.00, 0.00 Bohr magnetons per cell.